{"formula": "TmAl3Pd2", "functional": "GGA-PBE", "state": "optimized geometry", "crystal_system": "monoclinic", "total_magnetization_mub_per_cell": 0.000, "cell": [[8.313, -2.071, 0.000], [8.313, 2.071, 0.000], [-3.218, 0.000, 9.430]], "species": ["Tm", "Tm", "Tm", "Al", "Al", "Al", "Al", "Al", "Al", "Al", "Al", "Al", "Pd", "Pd", "Pd", "Pd", "Pd", "Pd"], "frac_coords": [[0.000, 0.000, 0.000], [0.158, 0.158, 0.705], [0.842, 0.842, 0.295], [0.041, 0.041, 0.353], [0.214, 0.214, 0.392], [0.324, 0.324, 0.035], [0.374, 0.374, 0.801], [0.500, 0.500, 0.500], [0.626, 0.626, 0.199], [0.676, 0.676, 0.965], [0.786, 0.786, 0.608], [0.959, 0.959, 0.647], [0.199, 0.199, 0.129], [0.362, 0.362, 0.545], [0.473, 0.473, 0.218], [0.527, 0.527, 0.782], [0.638, 0.638, 0.455], [0.801, 0.801, 0.871]]}



{"formula": "TmAlPd4", "functional": "GGA-PBE", "state": "optimized geometry", "crystal_system": "monoclinic", "total_magnetization_mub_per_cell": 0.000, "cell": [[7.255, 0.000, 0.000], [0.000, 4.219, 0.000], [-2.397, 0.000, 7.434]], "species": ["Tm", "Tm", "Al", "Al", "Pd", "Pd", "Pd", "Pd", "Pd", "Pd", "Pd", "Pd"], "frac_coords": [[0.000, 0.000, 0.000], [0.500, 0.500, 0.000], [0.000, 0.500, 0.500], [0.500, 0.000, 0.500], [0.110, 0.500, 0.832], [0.130, 0.000, 0.390], [0.370, 0.500, 0.610], [0.390, 0.000, 0.168], [0.610, 0.000, 0.832], [0.630, 0.500, 0.390], [0.870, 0.000, 0.610], [0.890, 0.500, 0.168]]}



{"formula": "Tm3Al9Pd2", "functional": "GGA-PBE", "state": "optimized geometry", "crystal_system": "orthorhombic", "total_magnetization_mub_per_cell": 0.000, "cell": [[-2.149, 4.878, 6.155], [2.149, -4.878, 6.155], [2.149, 4.878, -6.155]], "species": ["Tm", "Tm", "Tm", "Al", "Al", "Al", "Al", "Al", "Al", "Al", "Al", "Al", "Pd", "Pd"], "frac_coords": [[0.000, 0.000, 0.000], [0.299, 0.299, 0.000], [0.701, 0.701, 0.000], [0.020, 0.653, 0.367], [0.150, 0.867, 0.283], [0.286, 0.653, 0.633], [0.417, 0.133, 0.283], [0.500, 0.000, 0.500], [0.583, 0.867, 0.717], [0.714, 0.347, 0.367], [0.850, 0.133, 0.717], [0.980, 0.347, 0.633], [0.311, 0.500, 0.811], [0.689, 0.500, 0.189]]}



{"formula": "YTmAlPd", "functional": "GGA-PBE", "state": "optimized geometry", "crystal_system": "cubic", "total_magnetization_mub_per_cell": 0.000, "de_polymorph_mev_per_atom": 43.7, "cell": [[7.111, 0.000, 0.000], [0.000, 7.111, 0.000], [0.000, 0.000, 7.111]], "species": ["Y", "Y", "Y", "Y", "Tm", "Tm", "Tm", "Tm", "Al", "Al", "Al", "Al", "Pd", "Pd", "Pd", "Pd"], "frac_coords": [[0.000, 0.000, 0.000], [0.000, 0.500, 0.500], [0.500, 0.000, 0.500], [0.500, 0.500, 0.000], [0.000, 0.000, 0.500], [0.000, 0.500, 0.000], [0.500, 0.000, 0.000], [0.500, 0.500, 0.500], [0.250, 0.250, 0.250], [0.250, 0.750, 0.750], [0.750, 0.250, 0.750], [0.750, 0.750, 0.250], [0.250, 0.250, 0.750], [0.250, 0.750, 0.250], [0.750, 0.250, 0.250], [0.750, 0.750, 0.750]]}



E_tot, respectively: -5.12; -5.43; -4.71; -5.57 eV per atom.
Density, respectively: 7.10; 9.07; 6.19; 7.23 g cm⁻³.
Formation energy from the elements, respectively: -0.777; -0.601; -0.601; -0.599 eV per atom.